1.
VASP calculation (GGA-PBE) on AcLa5Dy2 after structural relaxation.

abc: 7.436 14.871 5.253
angles: 90.00 90.00 90.00
Space group Pbam (No. 55)
Asymmetric unit:
Ac  0.000  0.000  0.000 (multiplicity 2)
La  0.000  0.252  0.000 (multiplicity 4)
La  0.000  0.500  0.000 (multiplicity 2)
La  0.247  0.373  0.500 (multiplicity 4)
Dy  0.249  0.626  0.500 (multiplicity 4)

Results
The raw total energy is -4.729 eV per atom. As for the density of states at the Fermi level: 1.264 states/eV per atom.

---

2.
VASP calculation (GGA-PBE) on Ac4La5Dy after structural relaxation.

abc: 18.872 5.450 8.973
angles: 90.00 115.10 90.00
Space group C2/m (No. 12)
Asymmetric unit:
Ac  0.027  0.000  0.274 (multiplicity 4)
Ac  0.176  0.500  0.423 (multiplicity 4)
La  0.000  0.500  0.000 (multiplicity 2)
La  0.161  0.000  0.703 (multiplicity 4)
La  0.180  0.000  0.124 (multiplicity 4)
Dy  0.000  0.500  0.500 (multiplicity 2)

Results
The raw total energy is -4.325 eV per atom. As for the density of states at the Fermi level: 1.569 states/eV per atom.